(1)
Ba2NiAgP | GGA-PBE | relaxed

abc: 6.048 6.048 4.210
angles: 90.00 90.00 90.00
Fractional positions:
Ni (0.000, 0.000, 0.000)
Ba (0.000, 0.500, 0.000)
Ba (0.500, 0.000, 0.000)
Ag (0.500, 0.500, 0.500)
P (0.000, 0.000, 0.500)

Results
energy of formation	-0.436	eV/atom
magnetization	0.00	μB/atom
raw total energy	-4.01	eV per atom
energy above the most stable polymorph in this dataset	0.000	eV per atom


(2)
KMg | GGA-PBE | relaxed

abc: 7.252 8.229 8.229
angles: 153.72 128.68 59.49
Fractional positions:
K (0.921, 0.974, 0.947)
K (0.162, 0.776, 0.386)
Mg (0.508, 0.539, 0.968)
Mg (0.575, 0.211, 0.365)

Results
energy of formation	0.195	eV/atom
magnetization	0.00	μB/atom
raw total energy	-1.15	eV per atom


(3)
Be2MoSe | GGA-PBE | relaxed

abc: 3.388 4.376 3.402
angles: 90.00 90.00 90.00
Fractional positions:
Be (0.000, 0.000, 0.000)
Be (0.500, 0.500, 0.000)
Mo (0.500, 0.000, 0.500)
Se (0.000, 0.500, 0.500)

Results
magnetization	0.00	μB/atom
raw total energy	-5.16	eV per atom


(4)
NdAl4 | GGA-PBE | relaxed

abc: 5.768 9.123 9.123
angles: 90.00 90.00 90.00
Fractional positions:
Nd (0.000, 0.158, 0.658)
Nd (0.000, 0.658, 0.842)
Nd (0.000, 0.342, 0.158)
Nd (0.000, 0.842, 0.342)
Al (0.500, 0.900, 0.600)
Al (0.500, 0.600, 0.100)
Al (0.500, 0.400, 0.900)
Al (0.500, 0.100, 0.400)
Al (0.500, 0.192, 0.110)
Al (0.500, 0.110, 0.808)
Al (0.500, 0.890, 0.192)
Al (0.500, 0.808, 0.890)
Al (0.500, 0.308, 0.610)
Al (0.500, 0.692, 0.390)
Al (0.500, 0.610, 0.692)
Al (0.500, 0.390, 0.308)
Al (0.209, 0.000, 0.000)
Al (0.791, 0.500, 0.500)
Al (0.791, 0.000, 0.000)
Al (0.209, 0.500, 0.500)

Results
energy of formation	0.081	eV/atom
magnetization	0.00	μB/atom
raw total energy	-3.87	eV per atom
energy above the most stable polymorph in this dataset	0.423	eV per atom


(5)
NpAl4Pd2 | GGA-PBE | relaxed

abc: 4.308 6.639 17.271
angles: 90.00 90.00 90.00
Each line ends with the local moment (μB).
Fractional positions:
Np (0.750, 0.984, 0.635)  3.73
Np (0.250, 0.016, 0.365)  3.73
Np (0.250, 0.484, 0.865)  3.73
Np (0.750, 0.516, 0.135)  3.73
Al (0.250, 0.268, 0.693)  -0.01
Al (0.750, 0.732, 0.307)  -0.01
Al (0.750, 0.768, 0.807)  -0.01
Al (0.250, 0.232, 0.193)  -0.01
Al (0.250, 0.672, 0.687)  -0.01
Al (0.750, 0.328, 0.313)  -0.01
Al (0.750, 0.172, 0.813)  -0.01
Al (0.250, 0.828, 0.187)  -0.01
Al (0.250, 0.173, 0.537)  0.00
Al (0.750, 0.827, 0.463)  0.00
Al (0.750, 0.673, 0.963)  0.00
Al (0.250, 0.327, 0.037)  0.00
Al (0.250, 0.496, 0.428)  0.00
Al (0.750, 0.504, 0.572)  0.00
Al (0.750, 0.996, 0.072)  0.00
Al (0.250, 0.004, 0.928)  0.00
Pd (0.250, 0.754, 0.539)  -0.01
Pd (0.750, 0.246, 0.461)  -0.01
Pd (0.750, 0.254, 0.961)  -0.01
Pd (0.250, 0.746, 0.039)  -0.01
Pd (0.250, 0.968, 0.783)  0.00
Pd (0.750, 0.032, 0.217)  0.00
Pd (0.750, 0.468, 0.717)  0.00
Pd (0.250, 0.532, 0.283)  0.00

Results
energy of formation	-0.511	eV/atom
magnetization	0.56	μB/atom
raw total energy	-5.98	eV per atom


(6)
Na2NiN | GGA-PBE | relaxed

abc: 4.582 4.582 3.501
angles: 90.00 90.00 120.00
Fractional positions:
Na (0.333, 0.667, 0.156)
Na (0.667, 0.333, 0.844)
Ni (0.000, 0.000, 0.500)
N (0.000, 0.000, 0.000)

Results
magnetization	0.00	μB/atom
raw total energy	-4.30	eV per atom


(7)
PmScI6 | GGA-PBE | relaxed

abc: 8.034 8.034 7.518
angles: 90.61 90.61 120.92
Fractional positions:
Pm (0.000, 0.000, 0.000)
Sc (0.000, 0.000, 0.500)
I (0.295, 0.003, 0.274)
I (0.003, 0.295, 0.274)
I (0.997, 0.705, 0.726)
I (0.705, 0.997, 0.726)
I (0.298, 0.298, 0.736)
I (0.702, 0.702, 0.264)

Results
magnetization	0.00	μB/atom
raw total energy	-3.85	eV per atom
energy above the most stable polymorph in this dataset	0.000	eV per atom


(8)
ScAs2Ir | GGA-PBE | relaxed

abc: 6.028 6.028 6.028
angles: 145.83 144.81 49.86
Fractional positions:
As (0.970, 0.970, 0.000)
As (0.706, 0.206, 0.500)
Ir (0.541, 0.541, 0.000)
Sc (0.283, 0.783, 0.500)

Results
energy of formation	-0.600	eV/atom
magnetization	0.00	μB/atom
raw total energy	-6.72	eV per atom
energy above the most stable polymorph in this dataset	0.056	eV per atom


(9)
GdDyGaPd | GGA-PBE | relaxed

abc: 5.049 5.049 5.049
angles: 60.00 60.00 60.00
Each line ends with the local moment (μB).
Fractional positions:
Gd (0.500, 0.500, 0.500)  7.01
Ga (0.250, 0.250, 0.250)  0.00
Pd (0.750, 0.750, 0.750)  0.02
Dy (0.000, 0.000, 0.000)  0.01

Results
energy of formation	-0.690	eV/atom
magnetization	1.79	μB/atom
raw total energy	-7.42	eV per atom


(10)
YSc2BeO | GGA-PBE | relaxed

abc: 4.360 4.360 4.654
angles: 90.00 90.00 90.00
Fractional positions:
Y (0.000, 0.000, 0.500)
Sc (0.000, 0.500, 0.000)
Sc (0.500, 0.000, 0.000)
O (0.000, 0.000, 0.000)
Be (0.500, 0.500, 0.500)

Results
magnetization	0.00	μB/atom
raw total energy	-6.70	eV per atom


(11)
Re2NiTe | GGA-PBE | relaxed

abc: 4.751 3.779 3.852
angles: 87.94 90.00 90.00
Fractional positions:
Ni (0.500, 0.750, 0.750)
Re (0.000, 0.998, 0.945)
Re (0.000, 0.502, 0.555)
Te (0.500, 0.250, 0.250)

Results
magnetization	0.00	μB/atom
raw total energy	-7.79	eV per atom


(12)
Be2TeCl | GGA-PBE | relaxed

abc: 7.481 7.481 7.481
angles: 152.89 152.89 38.72
Fractional positions:
Be (0.000, 0.000, 0.000)
Be (0.250, 0.750, 0.500)
Te (0.750, 0.250, 0.500)
Cl (0.500, 0.500, 0.000)

Results
magnetization	0.00	μB/atom
raw total energy	-2.72	eV per atom
energy above the most stable polymorph in this dataset	0.535	eV per atom